(1)
A relaxed AcPN2 crystal. Source: Alexandria, functional PBE-GGA.

Lattice parameters (Å, degrees): 4.8707 4.8707 7.2349 107.87 107.87 85.01
Closest atoms and distances in Å follow each position.
Fractional coordinates of all 8 atoms:
Ac 0.1546 0.8454 0.7500  6 N 2.63-2.75
Ac 0.8454 0.1546 0.2500  6 N 2.63-2.75
P 0.3373 0.6627 0.2500  2 N 1.61
P 0.6627 0.3373 0.7500  2 N 1.61
N 0.0903 0.6746 0.3578  1 P 1.61
N 0.3254 0.9097 0.1422  1 P 1.61
N 0.6746 0.0903 0.8578  1 P 1.61
N 0.9097 0.3254 0.6422  1 P 1.61

## Properties
Its space group is C2/c, No. 15. As for the energy above the most stable polymorph in this dataset: 0.000 eV per atom.

***

(2)
A relaxed Ac5Hg2Ru crystal. Source: Alexandria, functional PBE-GGA.

Lattice parameters (Å, degrees): 10.1254 13.1941 4.3180 90.00 90.00 90.00
Closest atoms and distances in Å follow each position.
Fractional coordinates of all 16 atoms:
Ac 0.0000 0.0000 0.0000  4 Hg 3.33
Ac 0.1260 0.2993 0.0000  1 Ru 2.94
Ac 0.1757 0.5675 0.5000  2 Ru 2.94
Ac 0.3243 0.0675 0.5000  2 Ru 2.94
Ac 0.3740 0.7993 0.0000  1 Ru 2.94
Ac 0.5000 0.5000 0.0000  4 Hg 3.33
Ac 0.6260 0.2007 0.0000  1 Ru 2.94
Ac 0.6757 0.9325 0.5000  2 Ru 2.94
Ac 0.8243 0.4325 0.5000  2 Ru 2.94
Ac 0.8740 0.7007 0.0000  1 Ru 2.94
Hg 0.0983 0.8234 0.5000  7 Ac 3.33-3.54
Hg 0.4017 0.3234 0.5000  7 Ac 3.33-3.54
Hg 0.5983 0.6766 0.5000  7 Ac 3.33-3.54
Hg 0.9017 0.1766 0.5000  7 Ac 3.33-3.54
Ru 0.0000 0.5000 0.0000  6 Ac 2.94
Ru 0.5000 0.0000 0.0000  6 Ac 2.94

## Properties
Its space group is Pbam, No. 55. As for the energy above the most stable polymorph in this dataset: 0.000 eV per atom. Its energy of formation is -0.34 eV/atom.

***

(3)
A relaxed Na3TiF crystal. Source: Alexandria, functional PBE-GGA.

Lattice parameters (Å, degrees): 6.1048 6.1048 6.1048 90.00 90.00 90.00
Closest atoms and distances in Å follow each position.
Fractional coordinates of all 5 atoms:
Na 0.0000 0.0000 0.5000  2 Ti 3.05
Na 0.0000 0.5000 0.0000  2 Ti 3.05
Na 0.5000 0.0000 0.0000  2 Ti 3.05
Ti 0.0000 0.0000 0.0000  6 Na 3.05
F 0.5000 0.5000 0.5000  12 Na 4.32

## Properties
Its space group is Pm-3m, No. 221. As for the energy above the most stable polymorph in this dataset: 0.896 eV per atom.

***

(4)
A relaxed MgHgCl crystal. Source: Alexandria, functional PBE-GGA.

Lattice parameters (Å, degrees): 7.3032 7.3032 7.3032 153.74 153.74 37.48
Closest atoms and distances in Å follow each position.
Fractional coordinates of all 3 atoms:
Mg 0.0000 0.0000 0.0000  4 Cl 2.72
Hg 0.6432 0.6432 0.0000  4 Mg 3.07, 4 Hg 3.32, 1 Cl 3.36
Cl 0.4004 0.4004 0.0000  4 Mg 2.72

## Properties
Its space group is I4mm, No. 107. As for the energy above the most stable polymorph in this dataset: 0.172 eV per atom.

***

(5)
A relaxed AsSO4 crystal. Source: Alexandria, functional PBE-GGA.

Lattice parameters (Å, degrees): 4.9355 4.9355 9.0362 90.28 90.28 48.65
Closest atoms and distances in Å follow each position.
Fractional coordinates of all 12 atoms:
As 0.0000 0.5000 0.0000  4 O 2.15
As 0.5000 0.0000 0.5000  4 O 2.15
S 0.0183 0.9817 0.7500  4 O 1.49
S 0.9817 0.0183 0.2500  4 O 1.49
O 0.0627 0.6810 0.2031  1 S 1.49
O 0.1820 0.7239 0.8768  1 S 1.49
O 0.2761 0.8180 0.6232  1 S 1.49
O 0.3190 0.9373 0.2969  1 S 1.49
O 0.6810 0.0627 0.7031  1 S 1.49
O 0.7239 0.1820 0.3768  1 S 1.49
O 0.8180 0.2761 0.1232  1 S 1.49
O 0.9373 0.3190 0.7969  1 S 1.49

## Properties
Its space group is C2/c, No. 15. As for the total energy: -68.26 eV/cell.

***

(6)
A relaxed GaCuS2 crystal. Source: Alexandria, functional PBE-GGA.

Lattice parameters (Å, degrees): 7.2103 7.2103 7.2103 29.30 29.30 29.30
Closest atoms and distances in Å follow each position.
Fractional coordinates of all 4 atoms:
Ga 0.0000 0.0000 0.0000  6 S 2.48
Cu 0.5000 0.5000 0.5000  2 S 2.14
S 0.3966 0.3966 0.3966  1 Cu 2.14
S 0.6034 0.6034 0.6034  1 Cu 2.14

## Properties
Its space group is R-3m, No. 166. As for the total energy: -16.88 eV/cell.